[1]
The following is a DFT calculation (PBE) of an optimized crystal structure of HgRh.

Structure (CIF):
```
data_HgRh
_cell_length_a 8.0357
_cell_length_b 8.0357
_cell_length_c 4.3143
_cell_angle_alpha 90.00
_cell_angle_beta 90.00
_cell_angle_gamma 120.00
_space_group_name_H-M_alt 'P 63/m m c'
_space_group_IT_number 194
_space_group_name_Hall '-P 6c 2c'
loop_
_atom_site_label
_atom_site_type_symbol
_atom_site_fract_x
_atom_site_fract_y
_atom_site_fract_z
Hg1 Hg 0.1749 0.3499 0.2500
Rh1 Rh 0.1142 0.5571 0.7500
```

formation energy: 0.2354 eV per atom
D(E_F): 13.2 states/eV per cell

---

[2]
The following is a DFT calculation (PBE) of an optimized crystal structure of TcSbP2.

Structure (CIF):
```
data_TcSbP2
_cell_length_a 3.3090
_cell_length_b 4.9633
_cell_length_c 8.3388
_cell_angle_alpha 90.00
_cell_angle_beta 90.00
_cell_angle_gamma 90.00
_space_group_name_H-M_alt 'I m m 2'
_space_group_IT_number 44
loop_
_space_group_symop_operation_xyz
'x,y,z'
'-x,-y,z'
'-x,y,z'
'x,-y,z'
'x+1/2,y+1/2,z+1/2'
'-x+1/2,-y+1/2,z+1/2'
'-x+1/2,y+1/2,z+1/2'
'x+1/2,-y+1/2,z+1/2'
loop_
_atom_site_label
_atom_site_type_symbol
_atom_site_fract_x
_atom_site_fract_y
_atom_site_fract_z
Tc1 Tc 0.0000 0.0000 0.0000
Sb1 Sb 0.0000 0.5000 0.8142
P1 P 0.0000 0.0000 0.5615
P2 P 0.0000 0.5000 0.2987
```

calculated total energy: -5.89 eV per atom
D(E_F): 6.8 states/eV per cell

---

[3]
The following is a DFT calculation (PBE) of an optimized crystal structure of Cs2NbTe8.

Structure (CIF):
```
data_Cs2NbTe8
_cell_length_a 16.5002
_cell_length_b 8.1553
_cell_length_c 7.0976
_cell_angle_alpha 90.00
_cell_angle_beta 90.11
_cell_angle_gamma 90.00
_space_group_name_H-M_alt 'C 1 2/m 1'
_space_group_IT_number 12
loop_
_space_group_symop_operation_xyz
'x,y,z'
'-x,-y,-z'
'-x,y,-z'
'x,-y,z'
'x+1/2,y+1/2,z'
'-x+1/2,-y+1/2,-z'
'-x+1/2,y+1/2,-z'
'x+1/2,-y+1/2,z'
loop_
_atom_site_label
_atom_site_type_symbol
_atom_site_fract_x
_atom_site_fract_y
_atom_site_fract_z
Cs1 Cs 0.2003 0.0000 0.3358
Nb1 Nb 0.0000 0.5000 0.0000
Te1 Te 0.0453 0.0000 0.7363
Te2 Te 0.0639 0.5000 0.3688
Te3 Te 0.1192 0.2679 0.9207
```

calculated total energy: -3.73 eV per atom
D(E_F): 15.6 states/eV per cell

---

[4]
The following is a DFT calculation (PBE) of an optimized crystal structure of TaHgRh2.

Structure (CIF):
```
data_TaHgRh2
_cell_length_a 7.1610
_cell_length_b 7.1610
_cell_length_c 5.7930
_cell_angle_alpha 90.00
_cell_angle_beta 90.00
_cell_angle_gamma 90.00
_space_group_name_H-M_alt 'I -4 2 d'
_space_group_IT_number 122
_space_group_name_Hall 'I -4 2bw'
loop_
_atom_site_label
_atom_site_type_symbol
_atom_site_fract_x
_atom_site_fract_y
_atom_site_fract_z
Ta1 Ta 0.0000 0.0000 0.0000
Hg1 Hg 0.0000 0.0000 0.5000
Rh1 Rh 0.2138 0.2500 0.1250
```

formation energy: 0.1334 eV per atom
D(E_F): 5.8 states/eV per cell

---

[5]
The following is a DFT calculation (PBE) of an optimized crystal structure of NaErTe2O8.

Structure (CIF):
```
data_NaErTe2O8
_cell_length_a 5.2494
_cell_length_b 5.2494
_cell_length_c 11.3751
_cell_angle_alpha 90.00
_cell_angle_beta 90.00
_cell_angle_gamma 90.00
_space_group_name_H-M_alt 'I -4'
_space_group_IT_number 82
loop_
_space_group_symop_operation_xyz
'x,y,z'
'y,-x,-z'
'-x,-y,z'
'-y,x,-z'
'x+1/2,y+1/2,z+1/2'
'y+1/2,-x+1/2,-z+1/2'
'-x+1/2,-y+1/2,z+1/2'
'-y+1/2,x+1/2,-z+1/2'
loop_
_atom_site_label
_atom_site_type_symbol
_atom_site_fract_x
_atom_site_fract_y
_atom_site_fract_z
Na1 Na 0.0000 0.0000 0.0000
Er1 Er 0.0000 0.5000 0.7500
Te1 Te 0.0000 0.0000 0.5000
Te2 Te 0.0000 0.5000 0.2500
O1 O 0.1633 0.2485 0.5892
O2 O 0.1806 0.7460 0.1677
```

calculated total energy: -5.92 eV per atom
D(E_F): 0.0 states/eV per cell

---

[6]
The following is a DFT calculation (PBE) of an optimized crystal structure of In2Ga3Sn2.

Structure (CIF):
```
data_In2Ga3Sn2
_cell_length_a 12.6542
_cell_length_b 4.3436
_cell_length_c 7.5800
_cell_angle_alpha 90.00
_cell_angle_beta 124.31
_cell_angle_gamma 90.00
_space_group_name_H-M_alt 'C 1 2/m 1'
_space_group_IT_number 12
loop_
_space_group_symop_operation_xyz
'x,y,z'
'-x,-y,-z'
'-x,y,-z'
'x,-y,z'
'x+1/2,y+1/2,z'
'-x+1/2,-y+1/2,-z'
'-x+1/2,y+1/2,-z'
'x+1/2,-y+1/2,z'
loop_
_atom_site_label
_atom_site_type_symbol
_atom_site_fract_x
_atom_site_fract_y
_atom_site_fract_z
In1 In 0.1486 0.0000 0.3058
Ga1 Ga 0.0000 0.5000 0.5000
Ga2 Ga 0.0577 0.5000 0.8989
Sn1 Sn 0.1765 0.0000 0.7704
```

formation energy: 0.0624 eV per atom
offset from the most stable computed form: 25 meV/atom
D(E_F): 7.1 states/eV per cell

---

[7]
The following is a DFT calculation (PBE) of an optimized crystal structure of Zn2SiPd2.

Structure (CIF):
```
data_Zn2SiPd2
_cell_length_a 6.3847
_cell_length_b 6.3847
_cell_length_c 3.8203
_cell_angle_alpha 90.00
_cell_angle_beta 90.00
_cell_angle_gamma 90.00
_space_group_name_H-M_alt 'P 4/m b m'
_space_group_IT_number 127
_space_group_name_Hall '-P 4 2ab'
loop_
_atom_site_label
_atom_site_type_symbol
_atom_site_fract_x
_atom_site_fract_y
_atom_site_fract_z
Zn1 Zn 0.1460 0.3540 0.0000
Si1 Si 0.0000 0.0000 0.5000
Pd1 Pd 0.1598 0.6598 0.5000
```

offset from the most stable computed form: 0 meV/atom
D(E_F): 2.5 states/eV per cell

---

[8]
The following is a DFT calculation (PBE) of an optimized crystal structure of La6InPb5.

Structure (CIF):
```
data_La6InPb5
_cell_length_a 5.1975
_cell_length_b 9.2767
_cell_length_c 15.6435
_cell_angle_alpha 90.00
_cell_angle_beta 90.00
_cell_angle_gamma 90.00
_space_group_name_H-M_alt 'I m m m'
_space_group_IT_number 71
_space_group_name_Hall '-I 2 2'
loop_
_atom_site_label
_atom_site_type_symbol
_atom_site_fract_x
_atom_site_fract_y
_atom_site_fract_z
La1 La 0.0000 0.2480 0.0000
La2 La 0.0000 0.2512 0.3336
In1 In 0.0000 0.5000 0.5000
Pb1 Pb 0.0000 0.0000 0.1638
Pb2 Pb 0.0000 0.0000 0.5000
Pb3 Pb 0.0000 0.5000 0.1665
```

formation energy: -0.5751 eV per atom
D(E_F): 21.2 states/eV per cell

---

[9]
The following is a DFT calculation (PBE) of an optimized crystal structure of Li5Ru.

Structure (CIF):
```
data_Li5Ru
_cell_length_a 2.6281
_cell_length_b 2.6281
_cell_length_c 14.0815
_cell_angle_alpha 90.00
_cell_angle_beta 90.00
_cell_angle_gamma 90.00
_space_group_name_H-M_alt 'P 4/m m m'
_space_group_IT_number 123
_space_group_name_Hall '-P 4 2'
loop_
_atom_site_label
_atom_site_type_symbol
_atom_site_fract_x
_atom_site_fract_y
_atom_site_fract_z
Li1 Li 0.0000 0.0000 0.0000
Li2 Li 0.0000 0.0000 0.3561
Li3 Li 0.5000 0.5000 0.1754
Ru1 Ru 0.5000 0.5000 0.5000
```

formation energy: 0.1290 eV per atom
offset from the most stable computed form: 33 meV/atom
D(E_F): 4.3 states/eV per cell

---

[10]
The following is a DFT calculation (PBE) of an optimized crystal structure of Ba2NdAs2I2.

Structure (CIF):
```
data_Ba2NdAs2I2
_cell_length_a 5.6376
_cell_length_b 5.6376
_cell_length_c 17.8708
_cell_angle_alpha 90.00
_cell_angle_beta 90.00
_cell_angle_gamma 90.00
_space_group_name_H-M_alt 'I 4/m m m'
_space_group_IT_number 139
_space_group_name_Hall '-I 4 2'
loop_
_atom_site_label
_atom_site_type_symbol
_atom_site_fract_x
_atom_site_fract_y
_atom_site_fract_z
Ba1 Ba 0.0000 0.0000 0.1157
Nd1 Nd 0.0000 0.0000 0.5000
As1 As 0.0000 0.5000 0.0000
I1 I 0.0000 0.0000 0.3155
```

calculated total energy: -4.32 eV per atom
D(E_F): 7.4 states/eV per cell

---

[11]
The following is a DFT calculation (PBE) of an optimized crystal structure of MnSi2Ni.

Structure (CIF):
```
data_MnSi2Ni
_cell_length_a 2.6626
_cell_length_b 2.6626
_cell_length_c 22.5048
_cell_angle_alpha 90.00
_cell_angle_beta 90.00
_cell_angle_gamma 120.00
_space_group_name_H-M_alt 'R -3 m'
_space_group_IT_number 166
_space_group_name_Hall '-R 3 2"'
loop_
_atom_site_label
_atom_site_type_symbol
_atom_site_fract_x
_atom_site_fract_y
_atom_site_fract_z
Mn1 Mn 0.0000 0.0000 0.0000
Si1 Si 0.0000 0.0000 0.2508
Ni1 Ni 0.0000 0.0000 0.5000
```

calculated total energy: -6.71 eV per atom
D(E_F): 8.7 states/eV per cell

---

[12]
The following is a DFT calculation (PBE) of an optimized crystal structure of Cr2SiBr.

Structure (CIF):
```
data_Cr2SiBr
_cell_length_a 6.1020
_cell_length_b 6.1020
_cell_length_c 6.1020
_cell_angle_alpha 90.00
_cell_angle_beta 90.00
_cell_angle_gamma 90.00
_space_group_name_H-M_alt 'F m -3 m'
_space_group_IT_number 225
_space_group_name_Hall '-F 4 2 3'
loop_
_atom_site_label
_atom_site_type_symbol
_atom_site_fract_x
_atom_site_fract_y
_atom_site_fract_z
Cr1 Cr 0.2500 0.2500 0.2500
Si1 Si 0.0000 0.0000 0.0000
Br1 Br 0.0000 0.0000 0.5000
```

offset from the most stable computed form: 485 meV/atom
D(E_F): 8.8 states/eV per cell